1.
First-principles (meta-GGA SCAN) data for SnBi2As2 at its PBEsol-relaxed geometry, as listed in Alexandria via LeMat-Bulk.

a = 3.871 Å, b = 3.871 Å, c = 9.064 Å
α = 102.33°, β = 102.33°, γ = 90.00°
Fractional coordinates of all 5 atoms:
As: 0.250 0.750 0.500
As: 0.750 0.250 0.500
Bi: 0.397 0.397 0.794
Bi: 0.603 0.603 0.206
Sn: 0.000 0.000 0.000

Results
DOS(E_F) ... 0.63 states/eV per atom
DFT formation energy ... 0.26 eV/atom

2.
First-principles (meta-GGA SCAN) data for SrBiAs3 at its PBEsol-relaxed geometry, as listed in Alexandria via LeMat-Bulk.

a = 5.392 Å, b = 5.392 Å, c = 5.392 Å
α = 90.00°, β = 90.00°, γ = 90.00°
Fractional coordinates of all 5 atoms:
Sr: 0.500 0.500 0.500
As: 0.000 0.500 0.000
As: 0.000 0.000 0.500
As: 0.500 0.000 0.000
Bi: 0.000 0.000 0.000

Results
DOS(E_F) ... 1.01 states/eV per atom
DFT formation energy ... 0.27 eV/atom